[1]
{"formula": "Nb2H2W", "functional": "PBE-GGA", "state": "relaxed", "lattice": [[3.2537, 0.0000, 0.0000], [0.0000, 3.2537, 0.0000], [0.0000, 0.0000, 11.0445]], "species": ["Nb", "Nb", "Nb", "Nb", "H", "H", "H", "H", "W", "W"], "frac_coords": [[0.0000, 0.0000, 0.1456], [0.0000, 0.0000, 0.8544], [0.5000, 0.5000, 0.3544], [0.5000, 0.5000, 0.6456], [0.0000, 0.5000, 0.2500], [0.0000, 0.5000, 0.7500], [0.5000, 0.0000, 0.2500], [0.5000, 0.0000, 0.7500], [0.0000, 0.0000, 0.5000], [0.5000, 0.5000, 0.0000]]}

[2]
{"formula": "NbH3W", "functional": "PBE-GGA", "state": "relaxed", "lattice": [[3.5303, 0.0000, 0.0000], [0.0000, 3.5303, 0.0000], [0.0000, 0.0000, 3.5303]], "species": ["Nb", "H", "H", "H", "W"], "frac_coords": [[0.0000, 0.0000, 0.0000], [0.0000, 0.0000, 0.5000], [0.0000, 0.5000, 0.0000], [0.5000, 0.0000, 0.0000], [0.5000, 0.5000, 0.5000]]}

[3]
{"formula": "NbHW3", "functional": "PBE-GGA", "state": "relaxed", "lattice": [[4.1171, 0.0000, 0.0000], [0.0000, 4.1171, 0.0000], [0.0000, 0.0000, 4.1171]], "species": ["Nb", "H", "W", "W", "W"], "frac_coords": [[0.0000, 0.0000, 0.0000], [0.5000, 0.5000, 0.5000], [0.0000, 0.5000, 0.5000], [0.5000, 0.0000, 0.5000], [0.5000, 0.5000, 0.0000]]}

[4]
{"formula": "Y2NbH2", "functional": "PBE-GGA", "state": "relaxed", "lattice": [[3.3446, 0.0000, 0.0000], [0.0000, 3.3446, 0.0000], [0.0000, 0.0000, 15.0497]], "species": ["Y", "Y", "Y", "Y", "Nb", "Nb", "H", "H", "H", "H"], "frac_coords": [[0.0000, 0.0000, 0.1511], [0.0000, 0.0000, 0.8489], [0.5000, 0.5000, 0.3489], [0.5000, 0.5000, 0.6511], [0.0000, 0.0000, 0.5000], [0.5000, 0.5000, 0.0000], [0.0000, 0.5000, 0.2500], [0.0000, 0.5000, 0.7500], [0.5000, 0.0000, 0.2500], [0.5000, 0.0000, 0.7500]]}

[5]
{"formula": "Y3NbH", "functional": "PBE-GGA", "state": "relaxed", "lattice": [[5.4622, 0.0000, 0.0000], [0.0000, 5.4622, 0.0000], [0.0000, 0.0000, 5.4622]], "species": ["Y", "Y", "Y", "Nb", "H"], "frac_coords": [[0.0000, 0.0000, 0.5000], [0.0000, 0.5000, 0.0000], [0.5000, 0.0000, 0.0000], [0.0000, 0.0000, 0.0000], [0.5000, 0.5000, 0.5000]]}

[6]
{"formula": "YNb3H", "functional": "PBE-GGA", "state": "relaxed", "lattice": [[4.9970, 0.0000, 0.0000], [0.0000, 4.9970, 0.0000], [0.0000, 0.0000, 4.9970]], "species": ["Y", "Nb", "Nb", "Nb", "H"], "frac_coords": [[0.0000, 0.0000, 0.0000], [0.0000, 0.0000, 0.5000], [0.0000, 0.5000, 0.0000], [0.5000, 0.0000, 0.0000], [0.5000, 0.5000, 0.5000]]}

[7]
{"formula": "Y2NbH", "functional": "PBE-GGA", "state": "relaxed", "lattice": [[6.8337, 0.0000, 0.0000], [0.0000, 6.8337, 0.0000], [0.0000, 0.0000, 7.1955]], "species": ["Y", "Y", "Y", "Y", "Y", "Y", "Y", "Y", "Nb", "Nb", "Nb", "Nb", "H", "H", "H", "H"], "frac_coords": [[0.1464, 0.2500, 0.1250], [0.2500, 0.6464, 0.3750], [0.2500, 0.8536, 0.8750], [0.3536, 0.2500, 0.6250], [0.6464, 0.7500, 0.6250], [0.7500, 0.1464, 0.8750], [0.7500, 0.3536, 0.3750], [0.8536, 0.7500, 0.1250], [0.0000, 0.0000, 0.5000], [0.0000, 0.5000, 0.7500], [0.5000, 0.0000, 0.2500], [0.5000, 0.5000, 0.0000], [0.0000, 0.0000, 0.0000], [0.0000, 0.5000, 0.2500], [0.5000, 0.0000, 0.7500], [0.5000, 0.5000, 0.5000]]}

[8]
{"formula": "Y2NbH", "functional": "PBE-GGA", "state": "relaxed", "lattice": [[7.0843, 0.0000, 0.0000], [0.0000, 7.0843, 0.0000], [0.0000, 0.0000, 7.0843]], "species": ["Y", "Y", "Y", "Y", "Y", "Y", "Y", "Y", "Nb", "Nb", "Nb", "Nb", "H", "H", "H", "H"], "frac_coords": [[0.2500, 0.2500, 0.2500], [0.2500, 0.2500, 0.7500], [0.2500, 0.7500, 0.2500], [0.2500, 0.7500, 0.7500], [0.7500, 0.2500, 0.2500], [0.7500, 0.2500, 0.7500], [0.7500, 0.7500, 0.2500], [0.7500, 0.7500, 0.7500], [0.0000, 0.0000, 0.0000], [0.0000, 0.5000, 0.5000], [0.5000, 0.0000, 0.5000], [0.5000, 0.5000, 0.0000], [0.0000, 0.0000, 0.5000], [0.0000, 0.5000, 0.0000], [0.5000, 0.0000, 0.0000], [0.5000, 0.5000, 0.5000]]}

[9]
{"formula": "Y3Nb5H12", "functional": "PBE-GGA", "state": "relaxed", "lattice": [[-5.9502, 5.9502, 5.9502], [5.9502, -5.9502, 5.9502], [5.9502, 5.9502, -5.9502]], "species": ["Y", "Y", "Y", "Y", "Y", "Y", "Y", "Y", "Y", "Y", "Y", "Y", "Nb", "Nb", "Nb", "Nb", "Nb", "Nb", "Nb", "Nb", "Nb", "Nb", "Nb", "Nb", "Nb", "Nb", "Nb", "Nb", "Nb", "Nb", "Nb", "Nb", "H", "H", "H", "H", "H", "H", "H", "H", "H", "H", "H", "H", "H", "H", "H", "H", "H", "H", "H", "H", "H", "H", "H", "H", "H", "H", "H", "H", "H", "H", "H", "H", "H", "H", "H", "H", "H", "H", "H", "H", "H", "H", "H", "H", "H", "H", "H", "H"], "frac_coords": [[0.1250, 0.2500, 0.3750], [0.1250, 0.3750, 0.7500], [0.2500, 0.3750, 0.1250], [0.2500, 0.8750, 0.6250], [0.3750, 0.1250, 0.2500], [0.3750, 0.7500, 0.1250], [0.6250, 0.2500, 0.8750], [0.6250, 0.8750, 0.7500], [0.7500, 0.1250, 0.3750], [0.7500, 0.6250, 0.8750], [0.8750, 0.6250, 0.2500], [0.8750, 0.7500, 0.6250], [0.0000, 0.0000, 0.0000], [0.0000, 0.0000, 0.5000], [0.0000, 0.5000, 0.0000], [0.0000, 0.5000, 0.5000], [0.1250, 0.7500, 0.8750], [0.1250, 0.8750, 0.2500], [0.2500, 0.1250, 0.8750], [0.2500, 0.6250, 0.3750], [0.3750, 0.2500, 0.6250], [0.3750, 0.6250, 0.7500], [0.5000, 0.0000, 0.0000], [0.5000, 0.0000, 0.5000], [0.5000, 0.5000, 0.0000], [0.5000, 0.5000, 0.5000], [0.6250, 0.3750, 0.2500], [0.6250, 0.7500, 0.3750], [0.7500, 0.3750, 0.6250], [0.7500, 0.8750, 0.1250], [0.8750, 0.1250, 0.7500], [0.8750, 0.2500, 0.1250], [0.0486, 0.2129, 0.1326], [0.0486, 0.3357, 0.9160], [0.0803, 0.7129, 0.6643], [0.0803, 0.8674, 0.4160], [0.0840, 0.6326, 0.4197], [0.0840, 0.9514, 0.6643], [0.1326, 0.0486, 0.2129], [0.1326, 0.5840, 0.9197], [0.1643, 0.2129, 0.5803], [0.1643, 0.4514, 0.5840], [0.2129, 0.1326, 0.0486], [0.2129, 0.5803, 0.1643], [0.2871, 0.3357, 0.9197], [0.2871, 0.4514, 0.3674], [0.3357, 0.9160, 0.0486], [0.3357, 0.9197, 0.2871], [0.3674, 0.2871, 0.4514], [0.3674, 0.5803, 0.9160], [0.4160, 0.0803, 0.8674], [0.4160, 0.8357, 0.5486], [0.4197, 0.0840, 0.6326], [0.4197, 0.8357, 0.7871], [0.4514, 0.3674, 0.2871], [0.4514, 0.5840, 0.1643], [0.5486, 0.4160, 0.8357], [0.5486, 0.6326, 0.7129], [0.5803, 0.1643, 0.2129], [0.5803, 0.9160, 0.3674], [0.5840, 0.1643, 0.4514], [0.5840, 0.9197, 0.1326], [0.6326, 0.4197, 0.0840], [0.6326, 0.7129, 0.5486], [0.6643, 0.0803, 0.7129], [0.6643, 0.0840, 0.9514], [0.7129, 0.5486, 0.6326], [0.7129, 0.6643, 0.0803], [0.7871, 0.4197, 0.8357], [0.7871, 0.8674, 0.9514], [0.8357, 0.5486, 0.4160], [0.8357, 0.7871, 0.4197], [0.8674, 0.4160, 0.0803], [0.8674, 0.9514, 0.7871], [0.9160, 0.0486, 0.3357], [0.9160, 0.3674, 0.5803], [0.9197, 0.1326, 0.5840], [0.9197, 0.2871, 0.3357], [0.9514, 0.6643, 0.0840], [0.9514, 0.7871, 0.8674]]}

[10]
{"formula": "Y3NbH", "functional": "PBE-GGA", "state": "relaxed", "lattice": [[4.7962, 0.0000, 0.0000], [0.0000, 4.7962, 0.0000], [0.0000, 0.0000, 4.7962]], "species": ["Y", "Y", "Y", "Nb", "H"], "frac_coords": [[0.0000, 0.0000, 0.5000], [0.0000, 0.5000, 0.0000], [0.5000, 0.0000, 0.0000], [0.5000, 0.5000, 0.5000], [0.0000, 0.0000, 0.0000]]}

[11]
{"formula": "YNb3H", "functional": "PBE-GGA", "state": "relaxed", "lattice": [[4.4139, 0.0000, 0.0000], [0.0000, 4.4139, 0.0000], [0.0000, 0.0000, 4.4139]], "species": ["Y", "Nb", "Nb", "Nb", "H"], "frac_coords": [[0.0000, 0.0000, 0.0000], [0.0000, 0.5000, 0.5000], [0.5000, 0.0000, 0.5000], [0.5000, 0.5000, 0.0000], [0.5000, 0.5000, 0.5000]]}

[12]
{"formula": "Y2NbH", "functional": "PBE-GGA", "state": "relaxed", "lattice": [[3.2307, 0.0000, 0.0000], [-1.6154, 2.7979, 0.0000], [0.0000, 0.0000, 26.4758]], "species": ["Y", "Y", "Y", "Y", "Y", "Y", "Nb", "Nb", "Nb", "H", "H", "H"], "frac_coords": [[0.0000, 0.0000, 0.1114], [0.0000, 0.0000, 0.8886], [0.3333, 0.6667, 0.5552], [0.3333, 0.6667, 0.7781], [0.6667, 0.3333, 0.2219], [0.6667, 0.3333, 0.4448], [0.0000, 0.0000, 0.0000], [0.3333, 0.6667, 0.6667], [0.6667, 0.3333, 0.3333], [0.0000, 0.0000, 0.5000], [0.3333, 0.6667, 0.1667], [0.6667, 0.3333, 0.8333]]}

Number 1: uncorrected energy -8.097 eV per atom. Number 2: uncorrected energy -6.051 eV per atom. Number 3: uncorrected energy -10.110 eV per atom. Number 4: uncorrected energy -6.110 eV per atom. Number 5: uncorrected energy -5.529 eV per atom. Number 6: uncorrected energy -5.244 eV per atom. Number 7: uncorrected energy -6.356 eV per atom. Number 8: uncorrected energy -5.820 eV per atom. Number 9: uncorrected energy -5.800 eV per atom. Number 10: uncorrected energy -6.501 eV per atom. Number 11: uncorrected energy -7.727 eV per atom. Number 12: uncorrected energy -6.236 eV per atom.